Record 1
# PBE TbCd2Ag2, optimized geometry
# DOS at the Fermi energy in states/eV/cell: 7.34
# Energy of formation in eV per atom: -0.154
data_TbCd2Ag2
_symmetry_space_group_name_H-M 'I m m a'
_symmetry_Int_Tables_number 74
_symmetry_space_group_name_Hall '-I 2b 2'
_cell_length_a 3.464
_cell_length_b 4.735
_cell_length_c 27.757
_cell_angle_alpha 90.00
_cell_angle_beta 90.00
_cell_angle_gamma 90.00
loop_
_atom_site_label
_atom_site_fract_x
_atom_site_fract_y
_atom_site_fract_z
_atom_site_occupancy
Tb1 0.000 0.250 0.073 1
Cd1 0.000 0.250 0.316 1
Cd2 0.000 0.250 0.792 1
Ag1 0.000 0.250 0.526 1
Ag2 0.000 0.250 0.624 1



Record 2
# PBE Ca3Al11, optimized geometry
# DOS at the Fermi energy in states/eV/cell: 14.59
# Energy of formation in eV per atom: -0.206
data_Ca3Al11
_symmetry_space_group_name_H-M 'I m m m'
_symmetry_Int_Tables_number 71
_symmetry_space_group_name_Hall '-I 2 2'
_cell_length_a 4.429
_cell_length_b 10.164
_cell_length_c 12.727
_cell_angle_alpha 90.00
_cell_angle_beta 90.00
_cell_angle_gamma 90.00
loop_
_atom_site_label
_atom_site_fract_x
_atom_site_fract_y
_atom_site_fract_z
_atom_site_occupancy
Ca1 0.000 0.000 0.000 1
Ca2 0.000 0.000 0.307 1
Al1 0.000 0.198 0.500 1
Al2 0.000 0.277 0.140 1
Al3 0.000 0.370 0.342 1
Al4 0.000 0.500 0.000 1



Record 3
# PBE Ce2PrSnC, optimized geometry
# DOS at the Fermi energy in states/eV/cell: 9.48
# Energy of formation in eV per atom: -0.451
data_Ce2PrSnC
_symmetry_space_group_name_H-M 'P 4/m m m'
_symmetry_Int_Tables_number 123
_symmetry_space_group_name_Hall '-P 4 2'
_cell_length_a 4.948
_cell_length_b 4.948
_cell_length_c 5.209
_cell_angle_alpha 90.00
_cell_angle_beta 90.00
_cell_angle_gamma 90.00
loop_
_atom_site_label
_atom_site_fract_x
_atom_site_fract_y
_atom_site_fract_z
_atom_site_occupancy
Ce1 0.000 0.500 0.000 1
Pr1 0.000 0.000 0.500 1
Sn1 0.500 0.500 0.500 1
C1 0.000 0.000 0.000 1



> Which value of DOS at the Fermi energy does entry 3 give?

9.48 states/eV/cell



> Look up the DOS at the Fermi energy of the third one.

9.48 states/eV/cell



> Among the records above, which one has the highest DOS at the Fermi energy?

Ca3Al11



> Among the records above, which one has the highest DOS at the Fermi energy?

Ca3Al11